LuMgCd | PBE | relaxed

Results
The calculated volume comes out at 24.1 A^3/atom. The value obtained for the spin magnetization is 0.00 μB per atom. The energy is -7.48 eV for the cell shown.

The structure in POSCAR format:
```
LuMgCd
1.0
-1.698 1.698 6.268
1.698 -1.698 6.268
1.698 1.698 -6.268
Lu Mg Cd
1 1 1
direct
0.000 0.000 0.000 Lu
0.685 0.685 0.000 Mg
0.333 0.333 0.000 Cd
```

RbLaTcHg2 | PBE | relaxed

Results
The calculated volume comes out at 31.5 A^3/atom. The value obtained for the spin magnetization is 0.00 μB per atom. The energy is -16.70 eV for the cell shown.

The structure in POSCAR format:
```
RbLaTcHg2
1.0
5.607 0.000 0.000
0.000 5.607 0.000
0.000 0.000 5.005
Rb La Tc Hg
1 1 1 2
direct
0.000 0.000 0.000 Rb
0.500 0.500 0.000 La
0.500 0.500 0.500 Tc
0.000 0.500 0.500 Hg
0.500 0.000 0.500 Hg
```

CdSiBr2 | PBE | relaxed

Results
The calculated volume comes out at 28.6 A^3/atom. The value obtained for the spin magnetization is 0.22 μB per atom. The energy is -8.80 eV for the cell shown. As for the raw formation energy: 0.22 eV/atom. For the energy above the most stable polymorph in this dataset, the calculation gives 386 meV/atom.

The structure in POSCAR format:
```
CdSiBr2
1.0
-2.037 2.037 6.895
2.037 -2.037 6.895
2.037 2.037 -6.895
Cd Si Br
1 1 2
direct
0.000 0.000 0.000 Cd
0.250 0.750 0.500 Si
0.500 0.500 0.000 Br
0.750 0.250 0.500 Br
```

BaTl2Ag | PBE | relaxed

Results
The calculated volume comes out at 31.7 A^3/atom. The value obtained for the spin magnetization is 0.00 μB per atom. The energy is -10.01 eV for the cell shown. For the energy above the most stable polymorph in this dataset, the calculation gives 133 meV/atom.

The structure in POSCAR format:
```
BaTl2Ag
1.0
4.078 0.000 0.000
0.000 4.078 0.000
0.000 0.000 7.618
Ba Tl Ag
1 2 1
direct
0.000 0.000 0.000 Ba
0.000 0.000 0.530 Tl
0.500 0.500 0.294 Tl
0.500 0.500 0.718 Ag
```

MgBe3Fe | PBE | relaxed

Results
The calculated volume comes out at 14.1 A^3/atom. The value obtained for the spin magnetization is 0.00 μB per atom. The energy is -11.81 eV for the cell shown. For the energy above the most stable polymorph in this dataset, the calculation gives 1385 meV/atom.

The structure in POSCAR format:
```
MgBe3Fe
1.0
4.135 0.000 0.000
0.000 4.135 0.000
0.000 0.000 4.135
Mg Be Fe
1 3 1
direct
0.000 0.000 0.000 Mg
0.000 0.000 0.500 Be
0.000 0.500 0.000 Be
0.500 0.000 0.000 Be
0.500 0.500 0.500 Fe
```

Li2CuIBr2 | PBE | relaxed

Results
The calculated volume comes out at 26.9 A^3/atom. The value obtained for the spin magnetization is 0.00 μB per atom. The energy is -38.00 eV for the cell shown. As for the raw formation energy: -1.03 eV/atom.

The structure in POSCAR format:
```
Li2CuIBr2
1.0
6.288 -3.679 0.000
6.288 3.679 0.000
0.000 0.000 6.982
Li Cu I Br
4 2 2 4
direct
0.021 0.334 0.000 Li
0.334 0.021 0.500 Li
0.666 0.979 0.000 Li
0.979 0.666 0.500 Li
0.330 0.670 0.017 Cu
0.670 0.330 0.517 Cu
0.338 0.662 0.646 I
0.662 0.338 0.146 I
0.003 0.669 0.134 Br
0.331 0.997 0.134 Br
0.669 0.003 0.634 Br
0.997 0.331 0.634 Br
```

Copy entry 2 word for word.
RbLaTcHg2 | PBE | relaxed

Results
The calculated volume comes out at 31.5 A^3/atom. The value obtained for the spin magnetization is 0.00 μB per atom. The energy is -16.70 eV for the cell shown.

The structure in POSCAR format:
```
RbLaTcHg2
1.0
5.607 0.000 0.000
0.000 5.607 0.000
0.000 0.000 5.005
Rb La Tc Hg
1 1 1 2
direct
0.000 0.000 0.000 Rb
0.500 0.500 0.000 La
0.500 0.500 0.500 Tc
0.000 0.500 0.500 Hg
0.500 0.000 0.500 Hg
```